Crystalline Ir2WAu at its relaxed geometry, computed with PBE. Values from VASP.

The structure in Quantum ESPRESSO input format:
```
&SYSTEM
  ibrav = 0, nat = 4, ntyp = 3
/
ATOMIC_SPECIES
Au 196.97 Au.upf
Ir 192.22 Ir.upf
W 183.84 W.upf
CELL_PARAMETERS angstrom
-2.5720 0.6506 0.7534
0.3493 -1.0044 -2.5446
-1.2647 -8.8379 3.3147
ATOMIC_POSITIONS angstrom
Au -2.0598 -6.8053 1.5904
Ir -0.0202 -0.1413 0.0530
Ir -0.6121 -4.2776 1.6044
W -1.4275 -2.3864 -0.0670
```

Output
energy: -8.28 eV per atom
volume: 64.5 Å³ per cell
DFT formation energy: 0.210 eV/atom
theoretical density: 19.7 Mg/m³
crystal system: orthorhombic
M_tot: 0.0 μB per formula unit
density of states at the Fermi level: 3.32 states/eV/cell
relative energy among the computed polymorphs: 1.002 eV per formula unit